The following is a DFT calculation (PBE with a Hubbard U) of crystalline Cs2PuMnO6 at its relaxed geometry.

Lattice parameters (Å, degrees): 5.7242 5.7242 10.8982 90.00 90.00 90.00
Closest atoms and distances in Å follow each position.
Space group I4/mmm (No. 139)
Symmetry-distinct sites (fractional):
Cs 0.0000 0.5000 0.2500 (multiplicity 4)  4 O 2.98
Pu 0.0000 0.0000 0.0000 (multiplicity 2)  2 O 1.88
Mn 0.0000 0.0000 0.5000 (multiplicity 2)  4 O 1.92
O 0.0000 0.0000 0.1724 (multiplicity 4)  1 Pu 1.88
O 0.2376 0.2376 0.5000 (multiplicity 8)  1 Mn 1.92, 1 Pu 2.12

**Raw total energy**: -7.279 eV/atom
**Calculated volume**: 17.9 Å³/atom